BaPm2WO8 | PBE with a Hubbard U | optimized geometry

Cell lengths 4.4181, 5.4397, 7.4168 Å; angles 90.02, 107.16, 90.74 degrees
Last column: nearest neighbours and their distance in Å.
Space group P-1 (No. 2)
Symmetry-distinct sites (fractional):
Ba 0.0000 0.0000 0.0000 [1 per cell]  10 O 2.85-3.10
Pm 0.3125 0.5140 0.6864 [2 per cell]  8 O 2.35-2.61
W 0.5000 0.0000 0.5000 [1 per cell]  6 O 1.95-1.97
O 0.1966 0.7452 0.3747 [2 per cell]  1 W 1.95
O 0.2139 0.2755 0.3999 [2 per cell]  1 W 1.97
O 0.3315 0.5002 0.0074 [2 per cell]  1 O 1.53
O 0.3856 0.9703 0.7345 [2 per cell]  1 W 1.96

Calculated values
As for the calculated volume: 14.2 A^3/atom. The total magnetization is 0.0 μB per formula unit. Its density is 7.2 Mg/m³. As for the uncorrected energy: -7.43 eV/atom.